Entry 1:
VASP calculation (PBE) on an optimized crystal structure of CaAcGeH.

a = 5.1757 Å, b = 5.1757 Å, c = 5.1757 Å
α = 60.00°, β = 60.00°, γ = 60.00°
Fractional coordinates of all 4 atoms:
H 0.7500 0.7500 0.7500
Ac 0.0000 0.0000 0.0000
Ca 0.5000 0.5000 0.5000
Ge 0.2500 0.2500 0.2500

VASP energy: -0.1452 hartree per atom
Space group: F-43m

***

Entry 2:
VASP calculation (PBE) on an optimized crystal structure of YEr2Tm7.

a = 5.2458 Å, b = 9.3893 Å, c = 9.3894 Å
α = 125.21°, β = 90.00°, γ = 90.00°
Fractional coordinates of all 10 atoms:
Y 0.0000 0.0000 0.0000
Er 0.5000 0.7013 0.2987
Er 0.5000 0.2987 0.7013
Tm 0.0000 0.8004 0.1996
Tm 0.0000 0.1996 0.8004
Tm 0.5000 0.0666 0.2885
Tm 0.5000 0.9334 0.7115
Tm 0.5000 0.2885 0.0666
Tm 0.5000 0.7115 0.9334
Tm 0.5000 0.5000 0.5000

Energy above the lowest structure with this stoichiometry: 0.688 eV/atom
Formation energy from the elements: 0.715 eV per atom
Space group: Cmmm

***

Entry 3:
VASP calculation (PBE) on an optimized crystal structure of PuGa11.

a = 8.3061 Å, b = 8.5963 Å, c = 8.5914 Å
α = 76.49°, β = 61.09°, γ = 61.11°
Fractional coordinates of all 24 atoms:
Pu 0.5000 0.0000 0.0000
Pu 0.2500 0.5000 0.5000
Ga 0.4085 0.8225 0.4208
Ga 0.6518 0.1775 0.5792
Ga 0.0000 0.0000 0.0000
Ga 0.7500 0.5000 0.5000
Ga 0.3750 0.7500 0.7500
Ga 0.8750 0.7500 0.2500
Ga 0.8750 0.2500 0.7500
Ga 0.8750 0.2500 0.2500
Ga 0.4087 0.4208 0.8223
Ga 0.9810 0.6775 0.9208
Ga 0.5793 0.3225 0.0792
Ga 0.6518 0.5792 0.1777
Ga 0.7690 0.5792 0.8223
Ga 0.1705 0.4208 0.1777
Ga 0.0982 0.3225 0.9208
Ga 0.3415 0.6775 0.0792
Ga 0.3413 0.0792 0.6777
Ga 0.7690 0.8225 0.5792
Ga 0.1707 0.1775 0.4208
Ga 0.0982 0.9208 0.3223
Ga 0.9810 0.9208 0.6777
Ga 0.5795 0.0792 0.3223

Formation energy from the elements: -0.044 eV per atom
Space group: I4_1/amd

***

Entry 4:
VASP calculation (PBE) on an optimized crystal structure of UFe4P4.

a = 5.6192 Å, b = 5.6192 Å, c = 7.3303 Å
α = 90.00°, β = 90.00°, γ = 90.00°
Fractional coordinates of all 18 atoms:
U 0.0000 0.0000 0.0000
U 0.5000 0.5000 0.5000
Fe 0.2277 0.5000 0.8801
Fe 0.7723 0.5000 0.8801
Fe 0.5000 0.7723 0.1199
Fe 0.5000 0.2277 0.1199
Fe 0.0000 0.7277 0.3801
Fe 0.0000 0.2723 0.3801
Fe 0.2723 0.0000 0.6199
Fe 0.7277 0.0000 0.6199
P 0.5000 0.7899 0.8199
P 0.5000 0.2101 0.8199
P 0.7899 0.5000 0.1801
P 0.2101 0.5000 0.1801
P 0.2899 0.0000 0.3199
P 0.7101 0.0000 0.3199
P 0.0000 0.2899 0.6801
P 0.0000 0.7101 0.6801

Formation energy from the elements: -0.461 eV per atom
Space group: P4_2/nmc

***

Entry 5:
VASP calculation (PBE) on an optimized crystal structure of ReTe2NCl.

a = 5.4440 Å, b = 5.4440 Å, c = 3.7346 Å
α = 90.00°, β = 90.00°, γ = 90.00°
Fractional coordinates of all 5 atoms:
Re 0.0000 0.0000 0.0000
N 0.0000 0.0000 0.5000
Te 0.0000 0.5000 0.0000
Te 0.5000 0.0000 0.0000
Cl 0.5000 0.5000 0.5000

Energy above the lowest structure with this stoichiometry: 0.000 eV/atom
Space group: P4/mmm

***

Entry 6:
VASP calculation (PBE) on an optimized crystal structure of Nd3Y7Tm.

a = 8.6974 Å, b = 7.1229 Å, c = 7.1229 Å
α = 120.00°, β = 90.00°, γ = 90.00°
Fractional coordinates of all 11 atoms:
Nd 0.7823 0.4996 0.5004
Nd 0.7823 0.4996 0.9992
Nd 0.7823 0.0008 0.5004
Y 0.1205 0.1677 0.8323
Y 0.1205 0.1677 0.3355
Y 0.1205 0.6667 0.3333
Y 0.4469 0.8326 0.1674
Y 0.4469 0.3348 0.1674
Y 0.4469 0.8326 0.6652
Y 0.1205 0.6645 0.8323
Tm 0.4453 0.3333 0.6667

Energy above the lowest structure with this stoichiometry: 0.037 eV/atom
Formation energy from the elements: 0.178 eV per atom
Space group: P3m1

***

Entry 7:
VASP calculation (PBE) on an optimized crystal structure of CdPBr2.

a = 3.8451 Å, b = 3.8451 Å, c = 10.0846 Å
α = 90.00°, β = 90.00°, γ = 125.66°
Fractional coordinates of all 4 atoms:
Br 0.0000 0.0000 0.9333
Br 0.0000 0.0000 0.5667
Cd 0.5000 0.5000 0.2500
P 0.5000 0.5000 0.7500

Energy above the lowest structure with this stoichiometry: 0.449 eV/atom
Space group: Cmmm

***

Entry 8:
VASP calculation (PBE) on an optimized crystal structure of Ce2CuTcN5.

a = 3.2835 Å, b = 6.8867 Å, c = 9.8971 Å
α = 90.00°, β = 90.00°, γ = 103.79°
Fractional coordinates of all 18 atoms:
Ce 0.8661 0.7322 0.8073
Ce 0.1139 0.2278 0.6868
Ce 0.1339 0.2678 0.3073
Ce 0.8861 0.7722 0.1868
Cu 0.5427 0.0855 0.9547
Cu 0.4573 0.9145 0.4547
Tc 0.8006 0.6012 0.5119
Tc 0.1994 0.3988 0.0119
N 0.3494 0.6988 0.0103
N 0.6936 0.3873 0.8693
N 0.4932 0.9863 0.7722
N 0.2880 0.5761 0.6521
N 0.9432 0.8865 0.5595
N 0.6506 0.3012 0.5103
N 0.3064 0.6127 0.3693
N 0.5068 0.0137 0.2722
N 0.7120 0.4239 0.1521
N 0.0568 0.1135 0.0595

VASP energy: -0.2967 hartree per atom
Space group: Cmc2_1

***

Entry 9:
VASP calculation (PBE) on an optimized crystal structure of Y3InO.

a = 5.3662 Å, b = 5.3662 Å, c = 9.3612 Å
α = 90.00°, β = 90.00°, γ = 120.00°
Fractional coordinates of all 10 atoms:
Y 0.0000 0.0000 0.2500
Y 0.0000 0.0000 0.7500
Y 0.3333 0.6667 0.0782
Y 0.3333 0.6667 0.4218
Y 0.6667 0.3333 0.5782
Y 0.6667 0.3333 0.9218
O 0.0000 0.0000 0.0000
O 0.0000 0.0000 0.5000
In 0.3333 0.6667 0.7500
In 0.6667 0.3333 0.2500

VASP energy: -0.2334 hartree per atom
Space group: P6_3/mmc

***

Entry 10:
VASP calculation (PBE) on an optimized crystal structure of Zr2Al5Cu.

a = 4.0859 Å, b = 5.7460 Å, c = 11.4673 Å
α = 90.00°, β = 90.00°, γ = 90.00°
Fractional coordinates of all 16 atoms:
Al 0.0000 0.0000 0.0000
Al 0.0000 0.5000 0.5000
Al 0.0000 0.5073 0.7563
Al 0.0000 0.4927 0.2437
Al 0.0000 0.9927 0.2563
Al 0.0000 0.0073 0.7437
Al 0.5000 0.2679 0.8819
Al 0.5000 0.7321 0.1181
Al 0.5000 0.2321 0.3819
Al 0.5000 0.7679 0.6181
Cu 0.0000 0.0000 0.5000
Cu 0.0000 0.5000 0.0000
Zr 0.5000 0.2650 0.6293
Zr 0.5000 0.7350 0.3707
Zr 0.5000 0.2350 0.1293
Zr 0.5000 0.7650 0.8707

Energy above the lowest structure with this stoichiometry: 0.000 eV/atom
Formation energy from the elements: -0.499 eV per atom
Space group: Pbam